This record from Alexandria via LeMat-Bulk describes crystalline CaCoSb2Te at its relaxed geometry. The functional is GGA-PBE.

Cell lengths 4.843, 4.843, 5.821 Å; angles 90.00, 90.00, 90.00 degrees
Atoms (fractional coordinates):
Ca1 0.500 0.500 0.500
Co1 0.000 0.000 0.000
Sb1 0.500 0.000 0.000
Sb2 0.000 0.500 0.000
Te1 0.000 0.000 0.500

Summary:
As for the uncorrected formation energy: -0.170 eV per atom. As for the space-group type: P4/mmm (123).